4
Lattice="5.0220 0.0100 -0.0077 1.9714 4.6188 0.0077 -3.4930 -2.3200 2.7635" Properties=species:S:1:pos:R:3 comment="Al2HgRh (GGA-PBE, optimized geometry)" dos_at_fermi_per_ev_atom=0.32 e_tot_ev_per_fu=-16.19 delta_e_f_ev_per_fu=-1.05 total_magnetization_mub_per_atom=0.000 pbc="T T T"
Rh 2.5114 0.0013 1.3779
Hg 3.4957 2.3137 0.0000
Al 0.0017 0.0011 0.0000
Al 0.9883 2.3071 1.3856